# 1
## Ba3In9Bi2 (PBE)

Data for a geometry-optimized Ba3In9Bi2 structure.

abc: 10.0503 10.0503 10.0503
angles: 150.93 111.29 76.28
Positions (direct):
Ba: 0.0000 0.0000 0.0000
Ba: 0.3180 0.3180 0.0000
Ba: 0.6820 0.6820 0.0000
In: 0.0443 0.6738 0.3705
In: 0.1266 0.8546 0.2720
In: 0.3032 0.6738 0.6295
In: 0.4174 0.1454 0.2720
In: 0.5000 0.0000 0.5000
In: 0.5826 0.8546 0.7280
In: 0.6968 0.3262 0.3705
In: 0.8734 0.1454 0.7280
In: 0.9557 0.3262 0.6295
Bi: 0.2721 0.5000 0.7721
Bi: 0.7279 0.5000 0.2279

Magnetic moment   0.000 μB/f.u.
Calculated volume   32.3 Å³ per atom
Final energy   -3.09 eV/atom
Calculated density   6.840 Mg/m³
ΔH_f (0 K)   -0.36 eV/atom

=====

# 2
## NdZrVN3 (PBE)

Data for a geometry-optimized NdZrVN3 structure.

abc: 7.1037 3.3674 7.6162
angles: 90.00 102.06 90.00
Positions (direct):
Nd: 0.1802 0.2500 0.1798
Nd: 0.8198 0.7500 0.8202
Zr: 0.3572 0.7500 0.8510
Zr: 0.6428 0.2500 0.1490
V: 0.0933 0.2500 0.6041
V: 0.9067 0.7500 0.3959
N: 0.1196 0.2500 0.8542
N: 0.1807 0.7500 0.5284
N: 0.4294 0.7500 0.1461
N: 0.5706 0.2500 0.8539
N: 0.8193 0.2500 0.4716
N: 0.8804 0.7500 0.1458

Formation energy from raw total energies   -1213 meV per atom
Magnetic moment   0.000 μB/f.u.
Calculated volume   14.8 Å³ per atom
Final energy   -9.11 eV/atom
Calculated density   6.122 Mg/m³

=====

# 3
## La6CuGe2Br3 (PBE)

Data for a geometry-optimized La6CuGe2Br3 structure.

abc: 7.6365 7.6365 7.5792
angles: 99.76 99.76 119.89
Positions (direct):
La: 0.0919 0.4251 0.7740
La: 0.2418 0.2418 0.2304
La: 0.4251 0.0919 0.7740
La: 0.5749 0.9081 0.2260
La: 0.7582 0.7582 0.7696
La: 0.9081 0.5749 0.2260
Cu: 0.5000 0.5000 0.0000
Ge: 0.1659 0.8341 0.0000
Ge: 0.8341 0.1659 0.0000
Br: 0.0000 0.0000 0.5000
Br: 0.3285 0.6715 0.5000
Br: 0.6715 0.3285 0.5000

Formation energy from raw total energies   -1037 meV per atom
Magnetic moment   0.013 μB/f.u.
Calculated volume   30.0 Å³ per atom
Final energy   -5.03 eV/atom
Calculated density   5.904 Mg/m³

=====

# 4
## Nb2CrS4 (PBE)

Data for a geometry-optimized Nb2CrS4 structure.

abc: 4.4893 4.4893 12.6183
angles: 90.00 90.00 90.00
Positions (direct):
Nb: 0.0000 0.0000 0.1191
Nb: 0.0000 0.0000 0.8809
Nb: 0.5000 0.5000 0.3809
Nb: 0.5000 0.5000 0.6191
Cr: 0.0000 0.0000 0.5000
Cr: 0.5000 0.5000 0.0000
S: 0.0000 0.0000 0.3105
S: 0.0000 0.0000 0.6895
S: 0.0000 0.5000 0.0000
S: 0.0000 0.5000 0.5000
S: 0.5000 0.0000 0.0000
S: 0.5000 0.0000 0.5000
S: 0.5000 0.5000 0.1895
S: 0.5000 0.5000 0.8105

Formation energy from raw total energies   -101 meV per atom
Magnetic moment   0.459 μB/f.u.
Calculated volume   18.2 Å³ per atom
Final energy   -6.71 eV/atom
Calculated density   4.781 Mg/m³

=====

# 5
## CsIn3Sn (PBE)

Data for a geometry-optimized CsIn3Sn structure.

abc: 5.2457 5.2457 12.3376
angles: 90.00 90.00 90.00
Positions (direct):
Cs: 0.0000 0.0000 0.0000
Cs: 0.5000 0.5000 0.5000
In: 0.0000 0.0000 0.6197
In: 0.0000 0.5000 0.2469
In: 0.0000 0.5000 0.7469
In: 0.5000 0.0000 0.2469
In: 0.5000 0.0000 0.7469
In: 0.5000 0.5000 0.1197
Sn: 0.0000 0.0000 0.3783
Sn: 0.5000 0.5000 0.8783

Energy relative to the lowest polymorph listed for this composition   2 meV per atom
Magnetic moment   0.000 μB/f.u.
Calculated volume   33.9 Å³ per atom
Final energy   -2.77 eV/atom
Calculated density   5.831 Mg/m³
ΔH_f (0 K)   -0.16 eV/atom

=====

# 6
## TiSnPdRu (PBE)

Data for a geometry-optimized TiSnPdRu structure.

abc: 4.1666 4.1666 7.4455
angles: 90.00 90.00 90.00
Positions (direct):
Ti: 0.0000 0.0000 0.0000
Ti: 0.5000 0.5000 0.5000
Sn: 0.0000 0.0000 0.5000
Sn: 0.5000 0.5000 0.0000
Pd: 0.0000 0.5000 0.7500
Pd: 0.5000 0.0000 0.2500
Ru: 0.0000 0.5000 0.2500
Ru: 0.5000 0.0000 0.7500

Magnetic moment   0.000 μB/f.u.
Calculated volume   16.2 Å³ per atom
Final energy   -7.11 eV/atom
Calculated density   9.611 Mg/m³
ΔH_f (0 K)   -0.52 eV/atom

=====

# 7
## FeSbSe2N (PBE)

Data for a geometry-optimized FeSbSe2N structure.

abc: 5.0098 5.0098 3.4752
angles: 90.00 90.00 90.00
Positions (direct):
Fe: 0.0000 0.0000 0.0000
Sb: 0.5000 0.5000 0.5000
Se: 0.0000 0.5000 0.0000
Se: 0.5000 0.0000 0.0000
N: 0.0000 0.0000 0.5000

Formation energy from raw total energies   222 meV per atom
Energy relative to the lowest polymorph listed for this composition   0 meV per atom
Magnetic moment   0.000 μB/f.u.
Calculated volume   17.4 Å³ per atom
Final energy   -5.35 eV/atom
Calculated density   6.655 Mg/m³

=====

# 8
## AlSbAs (PBE)

Data for a geometry-optimized AlSbAs structure.

abc: 6.5985 6.5985 6.5985
angles: 90.00 90.00 90.00
Positions (direct):
Al: 0.0000 0.0000 0.0000
Al: 0.0000 0.5000 0.5000
Al: 0.5000 0.0000 0.5000
Al: 0.5000 0.5000 0.0000
Sb: 0.2500 0.2500 0.7500
Sb: 0.2500 0.7500 0.2500
Sb: 0.7500 0.2500 0.2500
Sb: 0.7500 0.7500 0.7500
As: 0.2500 0.2500 0.2500
As: 0.2500 0.7500 0.7500
As: 0.7500 0.2500 0.7500
As: 0.7500 0.7500 0.2500

Formation energy from raw total energies   200 meV per atom
Magnetic moment   0.000 μB/f.u.
Calculated volume   23.9 Å³ per atom
Final energy   -3.97 eV/atom
Calculated density   5.171 Mg/m³

=====

# 9
## Nb2InGa2 (PBE)

Data for a geometry-optimized Nb2InGa2 structure.

abc: 7.4344 7.4344 3.4595
angles: 90.00 90.00 90.00
Positions (direct):
Nb: 0.1259 0.3741 0.0000
Nb: 0.3741 0.8741 0.0000
Nb: 0.6259 0.1259 0.0000
Nb: 0.8741 0.6259 0.0000
In: 0.0000 0.0000 0.0000
In: 0.5000 0.5000 0.0000
Ga: 0.1725 0.6725 0.5000
Ga: 0.3275 0.1725 0.5000
Ga: 0.6725 0.8275 0.5000
Ga: 0.8275 0.3275 0.5000

Energy relative to the lowest polymorph listed for this composition   33 meV per atom
Magnetic moment   0.000 μB/f.u.
Calculated volume   19.1 Å³ per atom
Final energy   -5.80 eV/atom
Calculated density   7.644 Mg/m³
ΔH_f (0 K)   -0.01 eV/atom

=====

# 10
## BeHgPt3 (PBE)

Data for a geometry-optimized BeHgPt3 structure.

abc: 4.4931 4.4931 8.9268
angles: 90.00 90.00 120.00
Positions (direct):
Be: 0.0000 0.0000 0.0000
Be: 0.0000 0.0000 0.5000
Hg: 0.3333 0.6667 0.2500
Hg: 0.6667 0.3333 0.7500
Pt: 0.0000 0.0000 0.2500
Pt: 0.0000 0.0000 0.7500
Pt: 0.3333 0.6667 0.5731
Pt: 0.3333 0.6667 0.9269
Pt: 0.6667 0.3333 0.0731
Pt: 0.6667 0.3333 0.4269

Energy relative to the lowest polymorph listed for this composition   248 meV per atom
Magnetic moment   0.000 μB/f.u.
Calculated volume   15.6 Å³ per atom
Final energy   -4.49 eV/atom
Calculated density   16.914 Mg/m³
ΔH_f (0 K)   -0.06 eV/atom

=====

# 11
## SmHoTl2Se4 (PBE)

Data for a geometry-optimized SmHoTl2Se4 structure.

abc: 7.3134 4.2215 8.1409
angles: 90.00 107.39 90.00
Positions (direct):
Sm: 0.0000 0.0000 0.0000
Ho: 0.5000 0.5000 0.0000
Tl: 0.0000 0.5000 0.5000
Tl: 0.5000 0.0000 0.5000
Se: 0.2413 0.5000 0.2071
Se: 0.2708 0.0000 0.7955
Se: 0.7292 0.0000 0.2045
Se: 0.7587 0.5000 0.7929

Formation energy from raw total energies   -1382 meV per atom
Magnetic moment   0.000 μB/f.u.
Calculated volume   30.0 Å³ per atom
Final energy   -4.88 eV/atom
Calculated density   7.200 Mg/m³

=====

# 12
## Nd5Sm5Mg2 (PBE)

Data for a geometry-optimized Nd5Sm5Mg2 structure.

abc: 8.0447 8.0447 11.3219
angles: 115.21 115.21 36.91
Positions (direct):
Nd: 0.0000 0.0000 0.0000
Nd: 0.0801 0.0801 0.7440
Nd: 0.2514 0.2514 0.2585
Nd: 0.7486 0.7486 0.7415
Nd: 0.9199 0.9199 0.2560
Sm: 0.3339 0.3339 0.0032
Sm: 0.4135 0.4135 0.7415
Sm: 0.5000 0.5000 0.5000
Sm: 0.5865 0.5865 0.2585
Sm: 0.6661 0.6661 0.9968
Mg: 0.1688 0.1688 0.4995
Mg: 0.8312 0.8312 0.5005

Magnetic moment   0.000 μB/f.u.
Calculated volume   32.8 Å³ per atom
Final energy   -4.21 eV/atom
Calculated density   6.427 Mg/m³
ΔH_f (0 K)   0.01 eV/atom

=====

# 13
## CaZnTc (PBE)

Data for a geometry-optimized CaZnTc structure.

abc: 3.0354 3.0354 7.1415
angles: 90.00 90.00 120.00
Positions (direct):
Ca: 0.0000 0.0000 0.0000
Zn: 0.3333 0.6667 0.6285
Tc: 0.6667 0.3333 0.3400

Energy relative to the lowest polymorph listed for this composition   256 meV per atom
Magnetic moment   0.689 μB/f.u.
Calculated volume   19.0 Å³ per atom
Final energy   -3.99 eV/atom
Calculated density   5.930 Mg/m³
ΔH_f (0 K)   0.55 eV/atom

=====

# 14
## Y2Er3ScTe6 (PBE)

Data for a geometry-optimized Y2Er3ScTe6 structure.

abc: 9.6403 9.6403 8.6519
angles: 102.82 102.82 25.75
Positions (direct):
Y: 0.1681 0.1681 0.3336
Y: 0.8319 0.8319 0.6664
Er: 0.1728 0.1728 0.8368
Er: 0.5000 0.5000 0.5000
Er: 0.8272 0.8272 0.1632
Sc: 0.5000 0.5000 0.0000
Te: 0.0029 0.0029 0.7584
Te: 0.3352 0.3352 0.4147
Te: 0.3392 0.3392 0.9226
Te: 0.6608 0.6608 0.0774
Te: 0.6648 0.6648 0.5853
Te: 0.9971 0.9971 0.2416

Formation energy from raw total energies   -1223 meV per atom
Magnetic moment   0.002 μB/f.u.
Calculated volume   28.4 Å³ per atom
Final energy   -5.54 eV/atom
Calculated density   7.273 Mg/m³

=====

# 15
## Si2RuPt (PBE)

Data for a geometry-optimized Si2RuPt structure.

abc: 3.1436 4.6183 7.9863
angles: 90.00 90.00 90.00
Positions (direct):
Si: 0.0000 0.0000 0.0000
Si: 0.0000 0.5000 0.2474
Si: 0.5000 0.0000 0.2474
Si: 0.5000 0.5000 0.0000
Ru: 0.0000 0.0000 0.4663
Ru: 0.5000 0.5000 0.4663
Pt: 0.0000 0.5000 0.7662
Pt: 0.5000 0.0000 0.7662

Formation energy from raw total energies   78 meV per atom
Magnetic moment   0.007 μB/f.u.
Calculated volume   14.5 Å³ per atom
Final energy   -6.46 eV/atom
Calculated density   10.092 Mg/m³

=====

# 16
## CrNi3Rh6 (PBE)

Data for a geometry-optimized CrNi3Rh6 structure.

abc: 5.0013 5.0013 6.4503
angles: 90.00 90.00 120.00
Positions (direct):
Cr: 0.0000 0.0000 0.0000
Ni: 0.0000 0.0000 0.5000
Ni: 0.3333 0.6667 0.5000
Ni: 0.6667 0.3333 0.5000
Rh: 0.0000 0.3909 0.8043
Rh: 0.0000 0.6091 0.1957
Rh: 0.3909 0.0000 0.8043
Rh: 0.3909 0.3909 0.1957
Rh: 0.6091 0.0000 0.1957
Rh: 0.6091 0.6091 0.8043

Magnetic moment   0.013 μB/f.u.
Calculated volume   14.0 Å³ per atom
Final energy   -6.84 eV/atom
Calculated density   10.048 Mg/m³
ΔH_f (0 K)   0.27 eV/atom

=====

# 17
## PmSiIr (PBE)

Data for a geometry-optimized PmSiIr structure.

abc: 5.9660 5.7597 7.7357
angles: 90.00 114.58 90.00
Positions (direct):
Pm: 0.2011 0.1356 0.3805
Pm: 0.2011 0.3644 0.8805
Pm: 0.7989 0.6357 0.1195
Pm: 0.7989 0.8644 0.6195
Si: 0.2453 0.6346 0.5469
Si: 0.2453 0.8654 0.0469
Si: 0.7547 0.1346 0.9531
Si: 0.7547 0.3654 0.4531
Ir: 0.3814 0.5970 0.2988
Ir: 0.3814 0.9030 0.7988
Ir: 0.6186 0.0970 0.2012
Ir: 0.6186 0.4030 0.7012

Formation energy from raw total energies   -955 meV per atom
Energy relative to the lowest polymorph listed for this composition   0 meV per atom
Magnetic moment   0.000 μB/f.u.
Calculated volume   20.1 Å³ per atom
Final energy   -7.30 eV/atom
Calculated density   10.038 Mg/m³

=====

# 18
## SrLiSnAu (PBE)

Data for a geometry-optimized SrLiSnAu structure.

abc: 10.3829 5.0077 5.2368
angles: 90.00 119.54 90.00
Positions (direct):
Sr: 0.0000 0.0000 0.0000
Sr: 0.5000 0.5000 0.0000
Li: 0.1198 0.5000 0.6312
Li: 0.6198 0.0000 0.6312
Sn: 0.2626 0.5000 0.2659
Sn: 0.7626 0.0000 0.2659
Au: 0.3483 0.0000 0.2055
Au: 0.8483 0.5000 0.2055

Energy relative to the lowest polymorph listed for this composition   68 meV per atom
Magnetic moment   0.000 μB/f.u.
Calculated volume   29.6 Å³ per atom
Final energy   -3.19 eV/atom
Calculated density   5.751 Mg/m³
ΔH_f (0 K)   -0.48 eV/atom

=====

# 19
## Pr2AlRu2 (PBE)

Data for a geometry-optimized Pr2AlRu2 structure.

abc: 5.8345 5.8345 7.8580
angles: 103.23 103.23 58.79
Positions (direct):
Pr: 0.0003 0.2906 0.1442
Pr: 0.9997 0.7094 0.8558
Pr: 0.2906 0.0003 0.6442
Pr: 0.7094 0.9997 0.3558
Al: 0.3967 0.6033 0.2500
Al: 0.6033 0.3967 0.7500
Ru: 0.2129 0.5120 0.4834
Ru: 0.4880 0.7871 0.0166
Ru: 0.5120 0.2129 0.9834
Ru: 0.7871 0.4880 0.5166

Magnetic moment   0.000 μB/f.u.
Calculated volume   22.1 Å³ per atom
Final energy   -6.73 eV/atom
Calculated density   7.687 Mg/m³
ΔH_f (0 K)   -0.36 eV/atom

=====

# 20
## Sm6In5Hg (PBE)

Data for a geometry-optimized Sm6In5Hg structure.

abc: 8.5726 8.5726 7.6340
angles: 90.00 90.00 143.12
Positions (direct):
Sm: 0.0000 0.0000 0.2472
Sm: 0.0000 0.0000 0.7528
Sm: 0.3345 0.6655 0.2486
Sm: 0.3345 0.6655 0.7514
Sm: 0.6655 0.3345 0.2486
Sm: 0.6655 0.3345 0.7514
In: 0.1659 0.8341 0.0000
In: 0.1670 0.8330 0.5000
In: 0.5000 0.5000 0.5000
In: 0.8330 0.1670 0.5000
In: 0.8341 0.1659 0.0000
Hg: 0.5000 0.5000 0.0000

Energy relative to the lowest polymorph listed for this composition   0 meV per atom
Magnetic moment   0.000 μB/f.u.
Calculated volume   28.1 Å³ per atom
Final energy   -4.01 eV/atom
Calculated density   8.269 Mg/m³
ΔH_f (0 K)   -0.49 eV/atom

=====

# 21
## MgSc4AgS8 (PBE)

Data for a geometry-optimized MgSc4AgS8 structure.

abc: 7.6314 7.6314 7.6314
angles: 59.31 59.31 59.31
Positions (direct):
Mg: 0.0000 0.0000 0.0000
Sc: 0.0051 0.0051 0.4916
Sc: 0.0051 0.4916 0.0051
Sc: 0.4916 0.0051 0.0051
Sc: 0.6254 0.6254 0.6254
Ag: 0.3801 0.3801 0.3801
S: 0.2279 0.7563 0.7563
S: 0.2393 0.2393 0.7825
S: 0.2393 0.7825 0.2393
S: 0.2429 0.2429 0.2429
S: 0.7563 0.2279 0.7563
S: 0.7563 0.7563 0.2279
S: 0.7582 0.7582 0.7582
S: 0.7825 0.2393 0.2393

Formation energy from raw total energies   -1485 meV per atom
Magnetic moment   0.000 μB/f.u.
Calculated volume   22.1 Å³ per atom
Final energy   -5.97 eV/atom
Calculated density   3.052 Mg/m³

=====

# 22
## Ag3PtI2Br6 (PBE)

Data for a geometry-optimized Ag3PtI2Br6 structure.

abc: 8.2098 8.2098 6.2834
angles: 93.01 93.01 57.95
Positions (direct):
Ag: 0.0000 0.0000 0.0000
Ag: 0.0000 0.5000 0.5000
Ag: 0.5000 0.0000 0.5000
Pt: 0.5000 0.5000 0.5000
I: 0.1793 0.1793 0.1911
I: 0.8207 0.8207 0.8089
Br: 0.1938 0.6492 0.2722
Br: 0.3508 0.8062 0.7278
Br: 0.3627 0.3627 0.7277
Br: 0.6373 0.6373 0.2723
Br: 0.6492 0.1938 0.2722
Br: 0.8062 0.3508 0.7278

Formation energy from raw total energies   -225 meV per atom
Magnetic moment   0.000 μB/f.u.
Calculated volume   29.9 Å³ per atom
Final energy   -2.54 eV/atom
Calculated density   5.802 Mg/m³

=====

# 23
## TlCuPt4 (PBE)

Data for a geometry-optimized TlCuPt4 structure.

abc: 5.3481 5.3481 5.3481
angles: 60.00 60.00 60.00
Positions (direct):
Tl: 0.0000 0.0000 0.0000
Cu: 0.7500 0.7500 0.7500
Pt: 0.3753 0.3753 0.3753
Pt: 0.3753 0.3753 0.8741
Pt: 0.3753 0.8741 0.3753
Pt: 0.8741 0.3753 0.3753

Magnetic moment   0.000 μB/f.u.
Calculated volume   18.0 Å³ per atom
Final energy   -4.99 eV/atom
Calculated density   16.093 Mg/m³
ΔH_f (0 K)   0.12 eV/atom

=====

# 24
## CuSnN (PBE)

Data for a geometry-optimized CuSnN structure.

abc: 4.4609 3.3526 6.1122
angles: 90.00 95.78 90.00
Positions (direct):
Cu: 0.0000 0.0000 0.0000
Cu: 0.3570 0.5000 0.2242
Sn: 0.4128 0.5000 0.8072
Sn: 0.8509 0.0000 0.4242
N: 0.1510 0.5000 0.4941
N: 0.6899 0.0000 0.7479

Formation energy from raw total energies   236 meV per atom
Energy relative to the lowest polymorph listed for this composition   0 meV per atom
Magnetic moment   0.000 μB/f.u.
Calculated volume   15.2 Å³ per atom
Final energy   -5.24 eV/atom
Calculated density   7.167 Mg/m³